# 1
Tm2SeO2: optimized geometry, PBE-GGA.

The space group is I4/mmm (No. 139) and the conventional cell measures 3.783, 3.783 and 11.964 Å, with angles of 90.00, 90.00 and 90.00 degrees. Symmetry generates all atoms from Tm at (0.000, 0.000, 0.158), Se at (0.000, 0.000, 0.500) and O at (0.000, 0.500, 0.250).

The value obtained for the uncorrected formation energy is -3.105 eV/atom. As for the crystal system: tetragonal. The calculation puts the magnetic moment at 0.0 μB per cell. The energy comes out at -7.574 eV/atom.

***

# 2
Tm3Se2O2: optimized geometry, PBE-GGA.

The space group is C2/m (No. 12) and the conventional cell measures 12.782, 3.793 and 6.528 Å, with angles of 90.00, 118.95 and 90.00 degrees. Symmetry generates all atoms from Tm at (0.000, 0.000, 0.000), Tm at (0.228, 0.000, 0.697), Se at (0.092, 0.500, 0.808) and O at (0.183, 0.000, 0.325).

The value obtained for the uncorrected formation energy is -2.634 eV/atom. As for the crystal system: monoclinic. The calculation puts the magnetic moment at 0.0 μB per cell. The energy comes out at -6.963 eV/atom.

***

# 3
TmSeO: optimized geometry, PBE-GGA.

The space group is C2/m (No. 12) and the conventional cell measures 10.682, 3.722 and 7.182 Å, with angles of 90.00, 106.89 and 90.00 degrees. Symmetry generates all atoms from Tm at (0.229, 0.000, 0.176), Se at (0.118, 0.000, 0.512) and O at (0.162, 0.500, 0.032).

The value obtained for the uncorrected formation energy is -2.350 eV/atom. As for the crystal system: monoclinic. The calculation puts the magnetic moment at 0.0 μB per cell. The energy comes out at -6.655 eV/atom.

***

# 4
TmUSe2O: optimized geometry, PBE-GGA.

The space group is P4/nmm (No. 129, origin choice 2) and the conventional cell measures 3.933, 3.933 and 13.877 Å, with angles of 90.00, 90.00 and 90.00 degrees. Symmetry generates all atoms from Tm at (0.250, 0.250, 0.103), U at (0.250, 0.250, 0.591), Se at (0.250, 0.250, 0.306), Se at (0.250, 0.250, 0.893) and O at (0.250, 0.750, 0.500).

The value obtained for the uncorrected formation energy is -2.093 eV/atom. As for the crystal system: tetragonal. The calculation puts the magnetic moment at 5.0 μB per cell. The energy comes out at -7.630 eV/atom.

***

Question: What is the uncorrected formation energy in the second record?
Answer: -2.634 eV/atom

***

Question: The highest uncorrected formation energy belongs to which entry?
Answer: TmUSe2O

***

Question: What is the formula in the fourth record?
Answer: TmUSe2O